1.
CrHgP2 (PBE, relaxed); N(E_F) = 1.1 states/eV per cell
1.0
-1.5817 -2.1284 2.6738
-2.2204 -3.0389 -0.1243
7.3150 -2.5976 -0.8244
Cr Hg P
1 1 2
direct
0.7500 0.7500 0.7500
0.2500 0.2500 0.2500
0.1103 0.1103 0.9121
0.3897 0.3897 0.5879



2.
CrHgP2 (PBE, relaxed); N(E_F) = 1.9 states/eV per cell
1.0
6.1307 0.0304 -0.0010
3.5174 5.0214 0.0010
-4.1501 -3.8130 2.4133
Cr Hg P
1 1 2
direct
0.7500 0.2500 0.5000
0.2500 0.7500 0.5000
0.9172 0.9172 0.0000
0.5828 0.5828 0.0000



no.,ΔE_f (eV per atom),spin magnetization (μB/f.u.)
1,-0.01,1.86
2,0.29,0.00